No. 1
# PmPd2Pt

An optimized crystal structure of PmPd2Pt (PBE-GGA, Alexandria via LeMat-Bulk).

a = 4.731 Å, b = 4.731 Å, c = 4.731 Å
α = 60.00°, β = 60.00°, γ = 60.00°
Element x y z (fractional)
Pd (0.250, 0.250, 0.250)
Pd (0.750, 0.750, 0.750)
Pt (0.500, 0.500, 0.500)
Pm (0.000, 0.000, 0.000)

Summary:
crystal system: cubic
VASP energy: -5.968 eV/atom
DOS(E_F): 1.48 states/eV/f.u.
V: 18.72 Å³/atom
energy of formation: -2.695 eV per formula unit
relative energy among the computed polymorphs: 3.67 kcal/mol of atoms

---

No. 2
# CaPr2Eu

An optimized crystal structure of CaPr2Eu (PBE-GGA, Alexandria via LeMat-Bulk).

a = 3.753 Å, b = 3.753 Å, c = 12.670 Å
α = 81.48°, β = 81.48°, γ = 60.00°
Last column: magnetic moment on the atom in μB.
Element x y z (fractional)
Eu (0.000, 0.000, 0.000)  6.97
Pr (0.750, 0.750, 0.751)  0.04
Pr (0.250, 0.250, 0.249)  0.04
Ca (0.500, 0.500, 0.500)  -0.02

Summary:
crystal system: trigonal
VASP energy: -5.396 eV/atom
DOS(E_F): 5.89 states/eV/f.u.
V: 38.07 Å³/atom
energy of formation: 0.252 eV per formula unit
relative energy among the computed polymorphs: 0.00 kcal/mol of atoms

---

No. 3
# Tb2CuB3Pt12

An optimized crystal structure of Tb2CuB3Pt12 (PBE-GGA, Alexandria via LeMat-Bulk).

a = 7.294 Å, b = 7.294 Å, c = 7.294 Å
α = 65.97°, β = 65.97°, γ = 65.97°
Element x y z (fractional)
Tb (0.606, 0.606, 0.606)
Tb (0.394, 0.394, 0.394)
Cu (0.000, 0.000, 0.000)
B (0.500, 0.000, 0.000)
B (0.000, 0.500, 0.000)
B (0.000, 0.000, 0.500)
Pt (0.328, 0.328, 0.909)
Pt (0.874, 0.874, 0.380)
Pt (0.380, 0.874, 0.874)
Pt (0.909, 0.328, 0.328)
Pt (0.874, 0.380, 0.874)
Pt (0.328, 0.909, 0.328)
Pt (0.672, 0.672, 0.091)
Pt (0.126, 0.126, 0.620)
Pt (0.620, 0.126, 0.126)
Pt (0.091, 0.672, 0.672)
Pt (0.126, 0.620, 0.126)
Pt (0.672, 0.091, 0.672)

Summary:
crystal system: trigonal
VASP energy: -6.277 eV/atom
DOS(E_F): 7.08 states/eV/f.u.
V: 17.21 Å³/atom
energy of formation: -7.107 eV per formula unit